a.
This record from Alexandria describes a relaxed CeSc2Hg crystal. The functional is PBE.

It has space group R3m (No. 160, hexagonal axes), with a = 3.3639 Å, b = 3.3639 Å, c = 30.6197 Å, α = 90.00°, β = 90.00° and γ = 120.00°. The asymmetric unit holds Ce at (0.0000, 0.0000, 0.0000), Sc at (0.0000, 0.0000, 0.2437), Sc at (0.0000, 0.0000, 0.4242) and Hg at (0.0000, 0.0000, 0.8341).

As for the crystal system: trigonal.

---

b.
This record from Alexandria describes a relaxed CeSc2Hg crystal. The functional is PBE.

It has space group P4/mmm (No. 123), with a = 4.6694 Å, b = 4.6694 Å, c = 4.4816 Å, α = 90.00°, β = 90.00° and γ = 90.00°. The asymmetric unit holds Ce at (0.0000, 0.0000, 0.0000), Sc at (0.0000, 0.5000, 0.5000) and Hg at (0.5000, 0.5000, 0.0000).

As for the crystal system: tetragonal.

---

c.
This record from Alexandria describes a relaxed CeSc2Hg crystal. The functional is PBE.

It has space group P4/mmm (No. 123), with a = 3.4503 Å, b = 3.4503 Å, c = 8.0054 Å, α = 90.00°, β = 90.00° and γ = 90.00°. The asymmetric unit holds Ce at (0.0000, 0.0000, 0.0000), Sc at (0.5000, 0.5000, 0.2727) and Hg at (0.0000, 0.0000, 0.5000).

As for the crystal system: tetragonal.

---

d.
This record from Alexandria describes a relaxed CeSc2Hg crystal. The functional is PBE.

It has space group Fm-3m (No. 225), with a = 7.1494 Å, b = 7.1494 Å, c = 7.1494 Å, α = 90.00°, β = 90.00° and γ = 90.00°. The asymmetric unit holds Ce at (0.0000, 0.0000, 0.0000), Sc at (0.2500, 0.2500, 0.2500) and Hg at (0.0000, 0.0000, 0.5000).

As for the crystal system: cubic.

---

Energetically preferred structure: c | next structure: +76 meV per atom

---

a.
This record from Alexandria describes a relaxed CeScHg4 crystal. The functional is PBE.

It has space group C2/m (No. 12), with a = 10.2301 Å, b = 3.8103 Å, c = 8.0717 Å, α = 90.00°, β = 109.58° and γ = 90.00°. The asymmetric unit holds Ce at (0.0000, 0.0000, 0.0000), Sc at (0.0000, 0.0000, 0.5000), Hg at (0.1646, 0.5000, 0.8069) and Hg at (0.1666, 0.5000, 0.3517).

As for the crystal system: monoclinic.

---

b.
This record from Alexandria describes a relaxed CeScHg4 crystal. The functional is PBE.

It has space group P-1 (No. 2), with a = 4.7403 Å, b = 4.7472 Å, c = 7.6460 Å, α = 90.20°, β = 90.09° and γ = 90.01°. The asymmetric unit holds Ce at (0.0000, 0.0000, 0.0000), Sc at (0.5000, 0.5000, 0.5000), Hg at (0.0004, 0.4986, 0.7220) and Hg at (0.4994, 0.0014, 0.7214).

As for the crystal system: triclinic.

---

Energetically preferred structure: a | next structure: +172 meV per atom

---

a.
This record from Alexandria describes a relaxed Ce2HgSe crystal. The functional is PBE.

It has space group P4/mmm (No. 123), with a = 3.5554 Å, b = 3.5554 Å, c = 8.0788 Å, α = 90.00°, β = 90.00° and γ = 90.00°. The asymmetric unit holds Ce at (0.0000, 0.0000, 0.2276), Hg at (0.5000, 0.5000, 0.5000) and Se at (0.5000, 0.5000, 0.0000).

As for the crystal system: tetragonal.

---

b.
This record from Alexandria describes a relaxed Ce2HgSe crystal. The functional is PBE.

It has space group R-3m (No. 166, hexagonal axes), with a = 4.1922 Å, b = 4.1922 Å, c = 22.8540 Å, α = 90.00°, β = 90.00° and γ = 120.00°. The asymmetric unit holds Ce at (0.0000, 0.0000, 0.2408), Hg at (0.0000, 0.0000, 0.0000) and Se at (0.0000, 0.0000, 0.5000).

As for the crystal system: trigonal.

---

c.
This record from Alexandria describes a relaxed Ce2HgSe crystal. The functional is PBE.

It has space group R3m (No. 160, hexagonal axes), with a = 4.0305 Å, b = 4.0305 Å, c = 24.5063 Å, α = 90.00°, β = 90.00° and γ = 120.00°. The asymmetric unit holds Ce at (0.0000, 0.0000, 0.0000), Ce at (0.0000, 0.0000, 0.1868), Hg at (0.0000, 0.0000, 0.7607) and Se at (0.0000, 0.0000, 0.5927).

As for the crystal system: trigonal.

---

Energetically preferred structure: b | next structure: +23 meV per atom

---

a.
This record from Alexandria describes a relaxed CeHgSe crystal. The functional is PBE.

It has space group Pnma (No. 62), with a = 8.4658 Å, b = 4.9071 Å, c = 8.1614 Å, α = 90.00°, β = 90.00° and γ = 90.00°. The asymmetric unit holds Ce at (0.1724, 0.2500, 0.1450), Hg at (0.0034, 0.7500, 0.3853) and Se at (0.1617, 0.7500, 0.9535).

As for the crystal system: orthorhombic.

---

b.
This record from Alexandria describes a relaxed CeHgSe crystal. The functional is PBE.

It has space group I4mm (No. 107), with a = 3.7942 Å, b = 3.7942 Å, c = 11.8409 Å, α = 90.00°, β = 90.00° and γ = 90.00°. The asymmetric unit holds Ce at (0.0000, 0.0000, 0.0000), Hg at (0.0000, 0.0000, 0.3100) and Se at (0.0000, 0.0000, 0.6032).

As for the crystal system: tetragonal.

---

Energetically preferred structure: a | next structure: +140 meV per atom

---

a.
This record from Alexandria describes a relaxed Ce3HgSe6 crystal. The functional is PBE.

It has space group Cmc2_1 (No. 36), with a = 11.4189 Å, b = 14.1310 Å, c = 7.0570 Å, α = 90.00°, β = 90.00° and γ = 90.00°. The asymmetric unit holds Ce at (0.0000, 0.1018, 0.0000), Ce at (0.1815, 0.4004, 0.0940), Hg at (0.0000, 0.2964, 0.6248), Se at (0.0000, 0.2755, 0.2546), Se at (0.0000, 0.4710, 0.8029), Se at (0.1614, 0.0314, 0.2951) and Se at (0.1808, 0.2278, 0.8373).

As for the crystal system: orthorhombic.

---

b.
This record from Alexandria describes a relaxed Ce3HgSe6 crystal. The functional is PBE.

It has space group Cmc2_1 (No. 36), with a = 14.4387 Å, b = 12.6754 Å, c = 7.7434 Å, α = 90.00°, β = 90.00° and γ = 90.00°. The asymmetric unit holds Ce at (0.0000, 0.0693, 0.0000), Ce at (0.1475, 0.2916, 0.7713), Hg at (0.0000, 0.1802, 0.3676), Se at (0.0000, 0.3070, 0.0093), Se at (0.0000, 0.3665, 0.5600), Se at (0.1184, 0.0811, 0.6822) and Se at (0.1962, 0.1732, 0.0749).

As for the crystal system: orthorhombic.

---

Energetically preferred structure: a | next structure: +274 meV per atom

---

a.
This record from Alexandria describes a relaxed CeHgSe2 crystal. The functional is PBE.

It has space group R-3m (No. 166, hexagonal axes), with a = 4.1658 Å, b = 4.1658 Å, c = 25.7631 Å, α = 90.00°, β = 90.00° and γ = 120.00°. The asymmetric unit holds Ce at (0.0000, 0.0000, 0.0000), Hg at (0.0000, 0.0000, 0.5000) and Se at (0.0000, 0.0000, 0.1062).

As for the crystal system: trigonal.

---

b.
This record from Alexandria describes a relaxed CeHgSe2 crystal. The functional is PBE.

It has space group R3m (No. 160, hexagonal axes), with a = 4.2854 Å, b = 4.2854 Å, c = 26.4345 Å, α = 90.00°, β = 90.00° and γ = 120.00°. The asymmetric unit holds Ce at (0.0000, 0.0000, 0.0000), Hg at (0.0000, 0.0000, 0.8358), Se at (0.0000, 0.0000, 0.3889) and Se at (0.0000, 0.0000, 0.6121).

As for the crystal system: trigonal.

---

Energetically preferred structure: b | next structure: +931 meV per atom